# 1
Li2Cu3C3O9 | PBE | relaxed

D(E_F) = 0.5725 states/eV per atom
energy relative to the elements, uncorrected = -1175.5 meV/atom
space-group type = Pm (6)
volume = 363.04 Å³/cell

abc: 6.2241 8.1353 8.2678
angles: 60.13 90.00 90.00
Site moments in Bohr magnetons follow the coordinates.
Sites, in units of the cell vectors:
1 Li 0.0000 0.9638 0.3873  0.00
2 Li 0.5000 0.6551 0.9564  0.00
3 Li 0.0000 0.3778 0.6650  0.00
4 Li 0.5000 0.3797 0.6449  0.00
5 Cu 0.2557 0.6848 0.2842  0.27
6 Cu 0.7443 0.6848 0.2842  0.27
7 Cu 0.7663 0.0062 0.6850  0.24
8 Cu 0.2337 0.0062 0.6850  0.24
9 Cu 0.2519 0.3011 0.0412  -0.24
10 Cu 0.7481 0.3011 0.0412  -0.24
11 C 0.2513 0.6606 0.6657  0.00
12 C 0.7487 0.6606 0.6657  0.00
13 C 0.0000 0.0129 0.0108  0.00
14 C 0.5000 0.9994 0.9785  0.00
15 C 0.0000 0.3279 0.3577  0.00
16 C 0.5000 0.3423 0.3191  0.00
17 O 0.0000 0.9455 0.9003  0.02
18 O 0.5000 0.9261 0.8661  0.03
19 O 0.7634 0.8423 0.5631  0.01
20 O 0.2366 0.8423 0.5631  0.01
21 O 0.2687 0.5820 0.8447  -0.01
22 O 0.7313 0.5820 0.8447  -0.01
23 O 0.0000 0.8985 0.1916  0.03
24 O 0.5000 0.8879 0.1581  0.04
25 O 0.2485 0.5545 0.5864  0.00
26 O 0.7515 0.5545 0.5864  0.00
27 O 0.0000 0.1991 0.9440  -0.02
28 O 0.5000 0.1807 0.9076  0.00
29 O 0.0000 0.5101 0.2811  0.03
30 O 0.5000 0.5290 0.2298  0.03
31 O 0.0000 0.2237 0.5420  0.04
32 O 0.5000 0.2481 0.4972  0.00
33 O 0.0000 0.2423 0.2613  0.00
34 O 0.5000 0.2579 0.2188  -0.05

***

# 2
LiCu2C4O10 | PBE | relaxed

D(E_F) = 0.2141 states/eV per atom
energy relative to the elements, uncorrected = -1157.6 meV/atom
space-group type = Cc (9)
volume = 452.72 Å³/cell

abc: 6.9583 6.9583 10.1540
angles: 74.13 74.13 80.51
Site moments in Bohr magnetons follow the coordinates.
Sites, in units of the cell vectors:
1 Li 0.0075 0.6320 0.0957  0.00
2 Li 0.6320 0.0075 0.5957  0.00
3 Cu 0.8489 0.1702 0.2496  0.47
4 Cu 0.2887 0.7450 0.2531  0.26
5 Cu 0.7450 0.2887 0.7531  0.26
6 Cu 0.1702 0.8489 0.7496  0.47
7 C 0.5777 0.2307 0.0549  0.00
8 C 0.2117 0.2162 0.1200  0.00
9 C 0.2162 0.2117 0.6200  0.00
10 C 0.7322 0.4311 0.4607  0.00
11 C 0.2307 0.5777 0.5549  0.00
12 C 0.8087 0.7784 0.3734  0.00
13 C 0.7784 0.8087 0.8734  0.00
14 C 0.4311 0.7322 0.9607  0.00
15 O 0.1972 0.0569 0.2165  0.07
16 O 0.5852 0.1888 0.1806  0.03
17 O 0.0570 0.3389 0.1022  0.06
18 O 0.3389 0.0570 0.6022  0.06
19 O 0.7083 0.2906 0.5740  0.01
20 O 0.0569 0.1972 0.7165  0.07
21 O 0.7374 0.4164 0.3410  0.02
22 O 0.2652 0.3864 0.5218  0.01
23 O 0.2906 0.7083 0.0740  0.01
24 O 0.6159 0.7450 0.9857  0.00
25 O 0.3864 0.2652 0.0218  0.01
26 O 0.7219 0.2576 0.9467  0.01
27 O 0.7450 0.6159 0.4857  0.00
28 O 0.1888 0.5852 0.6806  0.03
29 O 0.9077 0.7567 0.2557  0.01
30 O 0.2576 0.7219 0.4467  0.01
31 O 0.7604 0.9433 0.4121  0.04
32 O 0.9433 0.7604 0.9121  0.04
33 O 0.4164 0.7374 0.8410  0.02
34 O 0.7567 0.9077 0.7557  0.01

***

# 3
Li6Cu2C4SO16 | PBE | relaxed

D(E_F) = 0.4821 states/eV per atom
energy relative to the elements, uncorrected = -1531.8 meV/atom
space-group type = Fd-3 (203)
volume = 579.16 Å³/cell

abc: 9.3563 9.3563 9.3563
angles: 60.00 60.00 60.00
Site moments in Bohr magnetons follow the coordinates.
Sites, in units of the cell vectors:
1 Li 0.9672 0.5328 0.9672  0.00
2 Li 0.5328 0.9672 0.9672  0.00
3 Li 0.9672 0.9672 0.5328  0.00
4 Li 0.5328 0.5328 0.9672  0.00
5 Li 0.7172 0.2828 0.7172  0.00
6 Li 0.2828 0.7172 0.7172  0.00
7 Li 0.9672 0.5328 0.5328  0.00
8 Li 0.5328 0.9672 0.5328  0.00
9 Li 0.2828 0.2828 0.7172  0.00
10 Li 0.7172 0.7172 0.2828  0.00
11 Li 0.2828 0.7172 0.2828  0.00
12 Li 0.7172 0.2828 0.2828  0.00
13 Cu 0.1250 0.1250 0.1250  0.61
14 Cu 0.6250 0.1250 0.1250  0.61
15 Cu 0.1250 0.6250 0.1250  0.61
16 Cu 0.1250 0.1250 0.6250  0.61
17 C 0.3494 0.3494 0.9517  0.00
18 C 0.3494 0.9517 0.3494  0.00
19 C 0.9517 0.3494 0.3494  0.00
20 C 0.3494 0.3494 0.3494  0.00
21 C 0.9006 0.9006 0.9006  0.00
22 C 0.2983 0.9006 0.9006  0.00
23 C 0.9006 0.2983 0.9006  0.00
24 C 0.9006 0.9006 0.2983  0.00
25 S 0.5000 0.5000 0.5000  0.00
26 S 0.7500 0.7500 0.7500  0.00
27 O 0.5652 0.5652 0.3044  0.00
28 O 0.3044 0.5652 0.5652  0.00
29 O 0.5652 0.3044 0.5652  0.00
30 O 0.5652 0.5652 0.5652  0.00
31 O 0.2157 0.3414 0.9502  0.06
32 O 0.4927 0.2157 0.9502  0.06
33 O 0.3414 0.9502 0.2157  0.06
34 O 0.3414 0.4927 0.9502  0.06
35 O 0.9502 0.2157 0.3414  0.06
36 O 0.9502 0.4927 0.2157  0.06
37 O 0.4927 0.9502 0.3414  0.06
38 O 0.2157 0.9502 0.4927  0.06
39 O 0.4927 0.3414 0.2157  0.06
40 O 0.9502 0.3414 0.4927  0.06
41 O 0.2157 0.4927 0.3414  0.06
42 O 0.9086 0.0343 0.7573  0.06
43 O 0.3414 0.2157 0.4927  0.06
44 O 0.0343 0.7573 0.9086  0.06
45 O 0.2998 0.9086 0.7573  0.06
46 O 0.7573 0.9086 0.0343  0.06
47 O 0.0343 0.2998 0.7573  0.06
48 O 0.7573 0.2998 0.9086  0.06
49 O 0.2998 0.7573 0.0343  0.06
50 O 0.2998 0.0343 0.9086  0.06
51 O 0.9086 0.7573 0.2998  0.06
52 O 0.9086 0.2998 0.0343  0.06
53 O 0.7573 0.0343 0.2998  0.06
54 O 0.0343 0.9086 0.2998  0.06
55 O 0.6848 0.6848 0.6848  0.00
56 O 0.6848 0.9456 0.6848  0.00
57 O 0.9456 0.6848 0.6848  0.00
58 O 0.6848 0.6848 0.9456  0.00

***

# 4
Li4Cu2C4SO16 | PBE | relaxed

D(E_F) = 0.2271 states/eV per atom
energy relative to the elements, uncorrected = -1348.7 meV/atom
space-group type = Fddd (70)
volume = 591.72 Å³/cell

abc: 9.1471 9.1471 9.5333
angles: 117.93 117.93 91.36
Site moments in Bohr magnetons follow the coordinates.
Sites, in units of the cell vectors:
1 Li 0.7062 0.7062 0.0000  0.00
2 Li 0.2941 0.7059 0.0000  0.00
3 Li 0.7059 0.2941 0.0000  0.00
4 Li 0.2938 0.2938 0.0000  0.00
5 Li 0.9562 0.4562 0.5000  0.00
6 Li 0.5441 0.4559 0.5000  0.00
7 Li 0.9559 0.0441 0.5000  0.00
8 Li 0.5438 0.0438 0.5000  0.00
9 Cu 0.1250 0.8750 0.7500  0.82
10 Cu 0.6250 0.8750 0.7500  0.82
11 Cu 0.1250 0.8750 0.2500  0.82
12 Cu 0.1250 0.3750 0.2500  0.82
13 C 0.9126 0.7194 0.8315  -0.01
14 C 0.9188 0.1121 0.8315  -0.01
15 C 0.8879 0.0812 0.1685  -0.01
16 C 0.2806 0.0874 0.1685  -0.01
17 C 0.9694 0.6626 0.3315  -0.01
18 C 0.3621 0.6688 0.3315  -0.01
19 C 0.3312 0.6379 0.6685  -0.01
20 C 0.3374 0.0306 0.6685  -0.01
21 S 0.5000 0.5000 0.0000  -0.01
22 S 0.7500 0.2500 0.5000  -0.01
23 O 0.0446 0.7134 0.8129  0.16
24 O 0.9225 0.7242 0.9730  0.17
25 O 0.7683 0.0994 0.8129  0.16
26 O 0.0505 0.2488 0.9730  0.17
27 O 0.7512 0.9495 0.0270  0.17
28 O 0.3178 0.7633 0.7978  0.19
29 O 0.4800 0.0345 0.7978  0.19
30 O 0.0133 0.0678 0.2978  0.19
31 O 0.9006 0.2317 0.1871  0.16
32 O 0.9655 0.5200 0.2022  0.19
33 O 0.5799 0.4437 0.8852  0.06
34 O 0.6915 0.0553 0.3852  0.06
35 O 0.2758 0.0775 0.0270  0.17
36 O 0.2866 0.9554 0.1871  0.16
37 O 0.3053 0.4415 0.8852  0.06
38 O 0.5563 0.4201 0.1148  0.06
39 O 0.6937 0.3299 0.3852  0.06
40 O 0.9447 0.3085 0.6148  0.06
41 O 0.9634 0.7946 0.3129  0.16
42 O 0.9742 0.6725 0.4730  0.17
43 O 0.5585 0.6947 0.1148  0.06
44 O 0.6701 0.3063 0.6148  0.06
45 O 0.2845 0.2300 0.2978  0.19
46 O 0.3494 0.5183 0.3129  0.16
47 O 0.2367 0.6822 0.2022  0.19
48 O 0.7700 0.7155 0.7022  0.19
49 O 0.9322 0.9867 0.7022  0.19
50 O 0.4988 0.8005 0.4730  0.17
51 O 0.1995 0.5012 0.5270  0.17
52 O 0.4817 0.6506 0.6871  0.16
53 O 0.3275 0.0258 0.5270  0.17
54 O 0.2054 0.0366 0.6871  0.16

***

# 5
Li3CuSiCO7 | PBE | relaxed

D(E_F) = 0.1300 states/eV per atom
energy relative to the elements, uncorrected = -1791.2 meV/atom
space-group type = P2_1/m (11)
volume = 269.88 Å³/cell

abc: 6.1387 5.0622 8.6967
angles: 87.01 90.00 90.00
Sites, in units of the cell vectors:
1 Li 0.2500 0.2143 0.8799
2 Li 0.0251 0.7259 0.7193
3 Li 0.4749 0.7259 0.7193
4 Li 0.5251 0.2741 0.2807
5 Li 0.9749 0.2741 0.2807
6 Li 0.7500 0.7857 0.1201
7 Cu 0.7500 0.1650 0.6754
8 Cu 0.2500 0.8350 0.3246
9 Si 0.2500 0.2685 0.5814
10 Si 0.7500 0.7315 0.4186
11 C 0.7500 0.2843 0.9616
12 C 0.2500 0.7157 0.0384
13 O 0.2500 0.5925 0.9125
14 O 0.7500 0.0348 0.9556
15 O 0.7500 0.4301 0.8281
16 O 0.0540 0.1372 0.6937
17 O 0.4460 0.1372 0.6937
18 O 0.2500 0.5883 0.5752
19 O 0.7500 0.8255 0.5965
20 O 0.2500 0.1745 0.4035
21 O 0.7500 0.4117 0.4248
22 O 0.5540 0.8628 0.3063
23 O 0.9460 0.8628 0.3063
24 O 0.2500 0.5699 0.1719
25 O 0.2500 0.9652 0.0444
26 O 0.7500 0.4075 0.0875

***

# 6
Sr4LiCuC2O10 | PBE | relaxed

energy relative to the elements, uncorrected = -2139.1 meV/atom
space-group type = I-42m (121)
volume = 231.24 Å³/cell

abc: 8.4049 8.4049 8.4049
angles: 141.21 141.21 56.02
Sites, in units of the cell vectors:
1 Sr 0.1134 0.6134 0.5000
2 Sr 0.3866 0.8866 0.5000
3 Sr 0.6134 0.1134 0.5000
4 Sr 0.8866 0.3866 0.5000
5 Li 0.0000 0.0000 0.0000
6 Cu 0.5000 0.5000 0.0000
7 C 0.7618 0.7618 0.0000
8 C 0.2382 0.2382 0.0000
9 O 0.7386 0.2687 0.0000
10 O 0.2614 0.2614 0.5301
11 O 0.5757 0.5757 0.7130
12 O 0.8498 0.8498 0.0000
13 O 0.8626 0.8626 0.2870
14 O 0.2687 0.7386 0.0000
15 O 0.7313 0.7313 0.4699
16 O 0.4243 0.1374 0.0000
17 O 0.1502 0.1502 0.0000
18 O 0.1374 0.4243 0.0000

***

# 7
LiCuRh2C | PBE | relaxed

D(E_F) = 0.3488 states/eV per atom
offset from the most stable computed form = 0.00 kJ per mole of atoms
energy relative to the elements = -0.01 eV/atom
space-group type = P4/mmm (123)
volume = 62.94 Å³/cell

abc: 4.0222 4.0222 3.8903
angles: 90.00 90.00 90.00
Sites, in units of the cell vectors:
1 C 0.0000 0.0000 0.0000
2 Rh 0.0000 0.5000 0.0000
3 Rh 0.5000 0.0000 0.0000
4 Cu 0.0000 0.0000 0.5000
5 Li 0.5000 0.5000 0.5000

***

# 8
LiCuRh2C | PBE | relaxed

D(E_F) = 1.0945 states/eV per atom
offset from the most stable computed form = 5.45 kJ per mole of atoms
energy relative to the elements = 0.05 eV/atom
space-group type = P4/mmm (123)
volume = 63.00 Å³/cell

abc: 3.9502 3.9502 4.0375
angles: 90.00 90.00 90.00
Sites, in units of the cell vectors:
1 C 0.0000 0.0000 0.0000
2 Rh 0.0000 0.5000 0.0000
3 Rh 0.5000 0.0000 0.0000
4 Cu 0.5000 0.5000 0.5000
5 Li 0.0000 0.0000 0.5000

***

# 9
LiCuSn2C | PBE | relaxed

D(E_F) = 0.4364 states/eV per atom
energy relative to the elements = 1.27 eV/atom
space-group type = P4/mmm (123)
volume = 105.94 Å³/cell

abc: 4.9040 4.4050 4.9040
angles: 90.00 90.00 90.00
Site moments in Bohr magnetons follow the coordinates.
Sites, in units of the cell vectors:
1 C 0.5000 0.5000 0.5000  0.44
2 Sn 0.0000 0.0000 0.5000  -0.04
3 Sn 0.5000 0.0000 0.0000  -0.04
4 Cu 0.0000 0.0000 0.0000  -0.01
5 Li 0.0000 0.5000 0.0000  -0.02

***

# 10
LiTlCuC2 | PBE | relaxed

D(E_F) = 0.3534 states/eV per atom
energy relative to the elements = 1.55 eV/atom
space-group type = P4/mmm (123)
volume = 71.04 Å³/cell

abc: 3.8670 4.7507 3.8670
angles: 90.00 90.00 90.00
Site moments in Bohr magnetons follow the coordinates.
Sites, in units of the cell vectors:
1 Tl 0.5000 0.5000 0.5000  0.01
2 C 0.0000 0.0000 0.5000  0.11
3 C 0.5000 0.0000 0.0000  0.16
4 Cu 0.0000 0.0000 0.0000  0.06
5 Li 0.0000 0.5000 0.0000  -0.01

***

# 11
LiY2CuC | PBE | relaxed

D(E_F) = 0.9292 states/eV per atom
offset from the most stable computed form = 1.30 kJ per mole of atoms
energy relative to the elements = -0.03 eV/atom
space-group type = P4/mmm (123)
volume = 96.35 Å³/cell

abc: 4.9829 4.9829 3.8807
angles: 90.00 90.00 90.00
Sites, in units of the cell vectors:
1 Y 0.0000 0.5000 0.0000
2 Y 0.5000 0.0000 0.0000
3 C 0.0000 0.0000 0.0000
4 Cu 0.0000 0.0000 0.5000
5 Li 0.5000 0.5000 0.5000

***

# 12
LiY2CuC | PBE | relaxed

D(E_F) = 0.6614 states/eV per atom
offset from the most stable computed form = 0.00 kJ per mole of atoms
energy relative to the elements = -0.04 eV/atom
space-group type = P4/mmm (123)
volume = 96.43 Å³/cell

abc: 4.8779 4.8779 4.0528
angles: 90.00 90.00 90.00
Sites, in units of the cell vectors:
1 Y 0.0000 0.5000 0.0000
2 Y 0.5000 0.0000 0.0000
3 C 0.0000 0.0000 0.0000
4 Cu 0.5000 0.5000 0.5000
5 Li 0.0000 0.0000 0.5000

***

Spin magnetization? In order: 0.32 1.01 2.00 4.18 0.00 0.00 0.00 0.00 0.66 0.54 0.00 0.00 μB per formula unit.
Uncorrected energy? In order: -108.395 -116.263 -184.452 -172.618 -82.478 -119.272 -29.979 -29.696 -16.872 -19.060 -28.293 -28.360 eV per formula unit.